No. 1
Below is a relaxed structure of Ga5Ge, with properties calculated at the GGA-PBE level.

a b c (Å): 4.5290 13.1284 3.8440
angles (deg): 90.00 90.00 90.00
Space group Cmmm (No. 65)
One atom of each set of equivalent atoms:
Ga (0.0000, 0.0000, 0.0000) (multiplicity 2)
Ga (0.0000, 0.1664, 0.5000) (multiplicity 4)
Ga (0.0000, 0.3353, 0.0000) (multiplicity 4)
Ge (0.0000, 0.5000, 0.5000) (multiplicity 2)

VASP energy	-3.225	eV per atom

No. 2
Below is a relaxed structure of Ga6Ge, with properties calculated at the GGA-PBE level.

a b c (Å): 7.0852 7.0852 7.0852
angles (deg): 90.00 90.00 90.00
Space group Im-3m (No. 229)
One atom of each set of equivalent atoms:
Ga (0.0000, 0.2500, 0.5000) (multiplicity 12)
Ge (0.0000, 0.0000, 0.0000) (multiplicity 2)

VASP energy	-2.769	eV per atom

No. 3
Below is a relaxed structure of GaGe3, with properties calculated at the GGA-PBE level.

a b c (Å): 6.1150 6.1150 4.7294
angles (deg): 90.00 90.00 120.00
Space group P6_3/mmc (No. 194)
One atom of each set of equivalent atoms:
Ga (0.3333, 0.6667, 0.2500) (multiplicity 2)
Ge (0.1668, 0.3336, 0.7500) (multiplicity 6)

offset from the most stable computed form	72	meV per atom

No. 4
Below is a relaxed structure of GaGe3, with properties calculated at the GGA-PBE level.

a b c (Å): 3.7498 5.3128 3.9136
angles (deg): 90.00 90.00 90.00
Space group Pmm2 (No. 25)
One atom of each set of equivalent atoms:
Ga (0.0000, 0.0000, 0.0000) (multiplicity 1)
Ge (0.0000, 0.5000, 0.8089) (multiplicity 1)
Ge (0.5000, 0.0000, 0.4937) (multiplicity 1)
Ge (0.5000, 0.5000, 0.3081) (multiplicity 1)

offset from the most stable computed form	0	meV per atom